Material: TaCuBi2Se
Method: DFT, GGA-PBE
State: optimized geometry

Properties
Total magnetic moment = 0.0 μB/f.u.

CIF file:
```
data_TaCuBi2Se
_cell_length_a 5.5004
_cell_length_b 5.5004
_cell_length_c 4.8391
_cell_angle_alpha 90.00
_cell_angle_beta 90.00
_cell_angle_gamma 90.00
_symmetry_space_group_name_H-M 'P 4/m m m'
_symmetry_Int_Tables_number 123
_symmetry_space_group_name_Hall '-P 4 2'
loop_
_atom_site_label
_atom_site_fract_x
_atom_site_fract_y
_atom_site_fract_z
Ta1 0.0000 0.0000 0.0000
Cu1 0.0000 0.0000 0.5000
Bi1 0.0000 0.5000 0.0000
Se1 0.5000 0.5000 0.5000
```



Material: FeCuSi2
Method: DFT, GGA-PBE
State: optimized geometry

Properties
Total magnetic moment = 2.2 μB/f.u.

CIF file:
```
data_FeCuSi2
_cell_length_a 2.5894
_cell_length_b 2.5894
_cell_length_c 7.4669
_cell_angle_alpha 90.00
_cell_angle_beta 90.00
_cell_angle_gamma 90.00
_symmetry_space_group_name_H-M 'P 4 m m'
_symmetry_Int_Tables_number 99
loop_
_symmetry_equiv_pos_as_xyz
'x,y,z'
'-y,x,z'
'-x,-y,z'
'y,-x,z'
'-x,y,z'
'y,x,z'
'x,-y,z'
'-y,-x,z'
loop_
_atom_site_label
_atom_site_fract_x
_atom_site_fract_y
_atom_site_fract_z
Fe1 0.0000 0.0000 0.0000
Cu1 0.5000 0.5000 0.7482
Si1 0.0000 0.0000 0.5063
Si2 0.5000 0.5000 0.2248
```



Short version: formation energy (no corrections) = 0.888 0.156 eV per atom, in the order given.